Compound: KIn5
Source: Alexandria
Functional: SCAN
Structure: single point on PBEsol structure

Computed properties:
E_form = -0.021 eV per atom
volume = 27.0 A^3/atom
energy above the most stable polymorph in this dataset = 38 meV/atom

abc: 3.3522 3.3522 14.3973
angles: 90.00 90.00 90.00
Closest atoms and distances in Å follow each position.
Positions (direct):
K1 0.0000 0.0000 0.0000  4 K 3.35, 8 In 3.62
In1 0.0000 0.0000 0.3406  12 In 3.21-3.35
In2 0.0000 0.0000 0.6594  12 In 3.21-3.35
In3 0.5000 0.5000 0.1904  8 In 3.21-3.35
In4 0.5000 0.5000 0.5000  12 In 3.30-3.35
In5 0.5000 0.5000 0.8096  8 In 3.21-3.35